A plane-wave DFT calculation with PBE with a Hubbard U was carried out for K2HfCoO4 after structural relaxation.

## Properties
* spin magnetization: 0.38 μB per atom

CIF file:
```
data_K2HfCoO4
_chemical_formula_sum 'K4 Hf2 Co2 O8'
_cell_length_a 5.8783
_cell_length_b 5.8783
_cell_length_c 8.1994
_cell_angle_alpha 90.00
_cell_angle_beta 90.00
_cell_angle_gamma 90.00
_symmetry_space_group_name_H-M 'I -4'
_symmetry_Int_Tables_number 82
loop_
_symmetry_equiv_pos_as_xyz
'x,y,z'
'y,-x,-z'
'-x,-y,z'
'-y,x,-z'
'x+1/2,y+1/2,z+1/2'
'y+1/2,-x+1/2,-z+1/2'
'-x+1/2,-y+1/2,z+1/2'
'-y+1/2,x+1/2,-z+1/2'
loop_
_atom_site_label
_atom_site_type_symbol
_atom_site_fract_x
_atom_site_fract_y
_atom_site_fract_z
K1 K 0.0000 0.0000 0.0000
K2 K 0.0000 0.5000 0.2500
Hf1 Hf 0.0000 0.0000 0.5000
Co1 Co 0.0000 0.5000 0.7500
O1 O 0.1426 0.7591 0.6308
```

A plane-wave DFT calculation with PBE with a Hubbard U was carried out for CoPI2F after structural relaxation.

## Properties
* spin magnetization: 0.62 μB per atom

CIF file:
```
data_CoPI2F
_chemical_formula_sum 'Co1 P1 I2 F1'
_cell_length_a 5.8492
_cell_length_b 5.8492
_cell_length_c 3.7596
_cell_angle_alpha 90.00
_cell_angle_beta 90.00
_cell_angle_gamma 90.00
_symmetry_space_group_name_H-M 'P 4/m m m'
_symmetry_Int_Tables_number 123
_symmetry_space_group_name_Hall '-P 4 2'
loop_
_atom_site_label
_atom_site_type_symbol
_atom_site_fract_x
_atom_site_fract_y
_atom_site_fract_z
Co1 Co 0.0000 0.0000 0.0000
P1 P 0.5000 0.5000 0.0000
I1 I 0.0000 0.5000 0.5000
F1 F 0.5000 0.5000 0.5000
```

Asked for calculated volume across the records above, the calculation gives 283.3; 128.6 Å³ per cell in order.
Asked for E across the records above, the calculation gives -54.05; -12.84 eV per formula unit in order.